# TaAgBiIr2 (PBEsol, optimized geometry)
# Size of the total moment ... 0.0 μB per cell
# Energy of formation from the pure elements ... 2.121 eV/atom
# ρ ... 13.3 g cm⁻³
data_TaAgBiIr2
_cell_length_a 4.754
_cell_length_b 4.754
_cell_length_c 4.863
_cell_angle_alpha 90.00
_cell_angle_beta 90.00
_cell_angle_gamma 90.00
_space_group_name_H-M_alt 'P 4/m m m'
_space_group_IT_number 123
_space_group_name_Hall '-P 4 2'
loop_
_atom_site_label
_atom_site_type_symbol
_atom_site_fract_x
_atom_site_fract_y
_atom_site_fract_z
Ta1 Ta 0.000 0.000 0.000
Ag1 Ag 0.500 0.500 0.500
Bi1 Bi 0.500 0.500 0.000
Ir1 Ir 0.000 0.500 0.500

---

# La4CoO8 (PBEsol, optimized geometry)
# Size of the total moment ... 2.0 μB per cell
# ΔE to the lowest computed polymorph ... 0 meV/atom
# ρ ... 7.1 g cm⁻³
data_La4CoO8
_cell_length_a 5.225
_cell_length_b 12.594
_cell_length_c 5.263
_cell_angle_alpha 90.00
_cell_angle_beta 90.00
_cell_angle_gamma 90.00
_space_group_name_H-M_alt 'C m m m'
_space_group_IT_number 65
_space_group_name_Hall '-C 2 2'
loop_
_atom_site_label
_atom_site_type_symbol
_atom_site_fract_x
_atom_site_fract_y
_atom_site_fract_z
La1 La 0.000 0.134 0.000
La2 La 0.000 0.366 0.500
Co1 Co 0.000 0.000 0.500
O1 O 0.000 0.160 0.500
O2 O 0.000 0.313 0.000
O3 O 0.250 0.000 0.260

---

# Ca2NbNiB (PBEsol, optimized geometry)
# Size of the total moment ... 0.5 μB per cell
# Energy of formation from the pure elements ... 0.663 eV/atom
# ρ ... 3.8 g cm⁻³
data_Ca2NbNiB
_cell_length_a 4.993
_cell_length_b 4.993
_cell_length_c 4.253
_cell_angle_alpha 90.00
_cell_angle_beta 90.00
_cell_angle_gamma 90.00
_space_group_name_H-M_alt 'P 4/m m m'
_space_group_IT_number 123
_space_group_name_Hall '-P 4 2'
loop_
_atom_site_label
_atom_site_type_symbol
_atom_site_fract_x
_atom_site_fract_y
_atom_site_fract_z
Ca1 Ca 0.000 0.500 0.000
Nb1 Nb 0.000 0.000 0.500
Ni1 Ni 0.500 0.500 0.500
B1 B 0.000 0.000 0.000

---

# SbAsI2O (PBEsol, optimized geometry)
# Final energy ... -16.20 eV/cell
# Size of the total moment ... 0.0 μB per cell
# ρ ... 6.6 g cm⁻³
data_SbAsI2O
_cell_length_a 5.076
_cell_length_b 5.076
_cell_length_c 4.537
_cell_angle_alpha 90.00
_cell_angle_beta 90.00
_cell_angle_gamma 90.00
_space_group_name_H-M_alt 'P 4/m m m'
_space_group_IT_number 123
_space_group_name_Hall '-P 4 2'
loop_
_atom_site_label
_atom_site_type_symbol
_atom_site_fract_x
_atom_site_fract_y
_atom_site_fract_z
Sb1 Sb 0.000 0.000 0.000
As1 As 0.500 0.500 0.000
I1 I 0.000 0.500 0.500
O1 O 0.000 0.000 0.500

---

# Nd4Ga17Ni2 (PBEsol, optimized geometry)
# Size of the total moment ... 0.0 μB per cell
# Energy of formation from the pure elements ... -0.456 eV/atom
# ρ ... 7.4 g cm⁻³
data_Nd4Ga17Ni2
_cell_length_a 4.166
_cell_length_b 4.299
_cell_length_c 47.286
_cell_angle_alpha 90.00
_cell_angle_beta 90.00
_cell_angle_gamma 90.00
_space_group_name_H-M_alt 'I m m 2'
_space_group_IT_number 44
loop_
_space_group_symop_operation_xyz
'x,y,z'
'-x,-y,z'
'-x,y,z'
'x,-y,z'
'x+1/2,y+1/2,z+1/2'
'-x+1/2,-y+1/2,z+1/2'
'-x+1/2,y+1/2,z+1/2'
'x+1/2,-y+1/2,z+1/2'
loop_
_atom_site_label
_atom_site_type_symbol
_atom_site_fract_x
_atom_site_fract_y
_atom_site_fract_z
Nd1 Nd 0.000 0.000 0.000
Nd2 Nd 0.000 0.000 0.157
Nd3 Nd 0.000 0.000 0.386
Nd4 Nd 0.000 0.000 0.772
Ga1 Ga 0.000 0.000 0.247
Ga2 Ga 0.000 0.000 0.298
Ga3 Ga 0.000 0.000 0.472
Ga4 Ga 0.000 0.000 0.524
Ga5 Ga 0.000 0.000 0.635
Ga6 Ga 0.000 0.000 0.685
Ga7 Ga 0.000 0.000 0.859
Ga8 Ga 0.000 0.000 0.910
Ga9 Ga 0.000 0.500 0.099
Ga10 Ga 0.000 0.500 0.217
Ga11 Ga 0.000 0.500 0.328
Ga12 Ga 0.000 0.500 0.442
Ga13 Ga 0.000 0.500 0.551
Ga14 Ga 0.000 0.500 0.605
Ga15 Ga 0.000 0.500 0.715
Ga16 Ga 0.000 0.500 0.829
Ga17 Ga 0.000 0.500 0.941
Ni1 Ni 0.000 0.000 0.078
Ni2 Ni 0.000 0.500 0.048

---

# ZrIn3Rh (PBEsol, optimized geometry)
# Size of the total moment ... 0.9 μB per cell
# Energy of formation from the pure elements ... 1.341 eV/atom
# ρ ... 5.9 g cm⁻³
data_ZrIn3Rh
_cell_length_a 5.326
_cell_length_b 5.326
_cell_length_c 5.326
_cell_angle_alpha 90.00
_cell_angle_beta 90.00
_cell_angle_gamma 90.00
_space_group_name_H-M_alt 'P m -3 m'
_space_group_IT_number 221
_space_group_name_Hall '-P 4 2 3'
loop_
_atom_site_label
_atom_site_type_symbol
_atom_site_fract_x
_atom_site_fract_y
_atom_site_fract_z
Zr1 Zr 0.000 0.000 0.000
In1 In 0.000 0.000 0.500
Rh1 Rh 0.500 0.500 0.500

---

# FeCo3 (PBEsol, optimized geometry)
# Size of the total moment ... 15.3 μB per cell
# Energy of formation from the pure elements ... 0.069 eV/atom
# ρ ... 9.0 g cm⁻³
data_FeCo3
_cell_length_a 4.654
_cell_length_b 3.893
_cell_length_c 4.818
_cell_angle_alpha 90.00
_cell_angle_beta 101.31
_cell_angle_gamma 90.00
_space_group_name_H-M_alt 'P 1 21/m 1'
_space_group_IT_number 11
loop_
_space_group_symop_operation_xyz
'x,y,z'
'-x,-y,-z'
'-x,y+1/2,-z'
'x,-y+1/2,z'
loop_
_atom_site_label
_atom_site_type_symbol
_atom_site_fract_x
_atom_site_fract_y
_atom_site_fract_z
Fe1 Fe 0.127 0.250 0.440
Co1 Co 0.126 0.250 0.943
Co2 Co 0.374 0.750 0.823
Co3 Co 0.375 0.750 0.320

---

# MgTiVS4 (PBEsol, optimized geometry)
# Final energy ... -182.19 eV/cell
# Size of the total moment ... 11.1 μB per cell
# ρ ... 3.2 g cm⁻³
data_MgTiVS4
_cell_length_a 7.193
_cell_length_b 7.483
_cell_length_c 9.729
_cell_angle_alpha 90.00
_cell_angle_beta 90.00
_cell_angle_gamma 90.00
_space_group_name_H-M_alt 'I m m a'
_space_group_IT_number 74
_space_group_name_Hall '-I 2b 2'
loop_
_atom_site_label
_atom_site_type_symbol
_atom_site_fract_x
_atom_site_fract_y
_atom_site_fract_z
Mg1 Mg 0.000 0.250 0.126
Ti1 Ti 0.250 0.250 0.750
V1 V 0.000 0.000 0.500
S1 S 0.000 0.027 0.749
S2 S 0.216 0.250 0.500

---

# Li3CuPCO7 (PBEsol, optimized geometry)
# Final energy ... -172.77 eV/cell
# Size of the total moment ... 2.0 μB per cell
# ρ ... 3.1 g cm⁻³
data_Li3CuPCO7
_cell_length_a 5.089
_cell_length_b 6.098
_cell_length_c 8.493
_cell_angle_alpha 90.00
_cell_angle_beta 103.36
_cell_angle_gamma 90.00
_space_group_name_H-M_alt 'P 1 21/m 1'
_space_group_IT_number 11
loop_
_space_group_symop_operation_xyz
'x,y,z'
'-x,-y,-z'
'-x,y+1/2,-z'
'x,-y+1/2,z'
loop_
_atom_site_label
_atom_site_type_symbol
_atom_site_fract_x
_atom_site_fract_y
_atom_site_fract_z
Li1 Li 0.162 0.250 0.080
Li2 Li 0.238 0.505 0.715
Cu1 Cu 0.251 0.750 0.313
P1 P 0.292 0.250 0.409
C1 C 0.414 0.750 0.017
O1 O 0.173 0.055 0.295
O2 O 0.196 0.750 0.073
O3 O 0.199 0.250 0.567
O4 O 0.349 0.250 0.888
O5 O 0.390 0.750 0.863
O6 O 0.393 0.750 0.553

---

# ZnCu2Au (PBEsol, optimized geometry)
# Size of the total moment ... 0.0 μB per cell
# Energy of formation from the pure elements ... -0.089 eV/atom
# ρ ... 12.2 g cm⁻³
data_ZnCu2Au
_cell_length_a 2.993
_cell_length_b 2.993
_cell_length_c 5.920
_cell_angle_alpha 90.00
_cell_angle_beta 90.00
_cell_angle_gamma 90.00
_space_group_name_H-M_alt 'P 4 m m'
_space_group_IT_number 99
loop_
_space_group_symop_operation_xyz
'x,y,z'
'-y,x,z'
'-x,-y,z'
'y,-x,z'
'-x,y,z'
'y,x,z'
'x,-y,z'
'-y,-x,z'
loop_
_atom_site_label
_atom_site_type_symbol
_atom_site_fract_x
_atom_site_fract_y
_atom_site_fract_z
Zn1 Zn 0.000 0.000 0.000
Cu1 Cu 0.000 0.000 0.555
Cu2 Cu 0.500 0.500 0.771
Au1 Au 0.500 0.500 0.282

---

# Al2IrW (PBEsol, optimized geometry)
# Size of the total moment ... 0.1 μB per cell
# Energy of formation from the pure elements ... -0.170 eV/atom
# ΔE to the lowest computed polymorph ... 140 meV/atom
# ρ ... 12.7 g cm⁻³
data_Al2IrW
_cell_length_a 6.087
_cell_length_b 6.087
_cell_length_c 6.087
_cell_angle_alpha 90.00
_cell_angle_beta 90.00
_cell_angle_gamma 90.00
_space_group_name_H-M_alt 'F m -3 m'
_space_group_IT_number 225
_space_group_name_Hall '-F 4 2 3'
loop_
_atom_site_label
_atom_site_type_symbol
_atom_site_fract_x
_atom_site_fract_y
_atom_site_fract_z
Al1 Al 0.250 0.250 0.250
Ir1 Ir 0.000 0.000 0.000
W1 W 0.000 0.000 0.500

---

# MnInIr (PBEsol, optimized geometry)
# Size of the total moment ... 6.3 μB per cell
# Energy of formation from the pure elements ... 0.080 eV/atom
# ρ ... 12.9 g cm⁻³
data_MnInIr
_cell_length_a 2.943
_cell_length_b 2.943
_cell_length_c 10.719
_cell_angle_alpha 90.00
_cell_angle_beta 90.00
_cell_angle_gamma 90.00
_space_group_name_H-M_alt 'I 4 m m'
_space_group_IT_number 107
_space_group_name_Hall 'I 4 -2'
loop_
_atom_site_label
_atom_site_type_symbol
_atom_site_fract_x
_atom_site_fract_y
_atom_site_fract_z
Mn1 Mn 0.000 0.000 0.000
In1 In 0.000 0.000 0.680
Ir1 Ir 0.000 0.000 0.360

---

# MgSb2P2 (PBEsol, optimized geometry)
# Final energy ... -21.80 eV/cell
# Size of the total moment ... 0.0 μB per cell
# ρ ... 4.6 g cm⁻³
data_MgSb2P2
_cell_length_a 4.8523
_cell_length_b 4.8523
_cell_length_c 5.8189
_cell_angle_alpha 90.00
_cell_angle_beta 90.00
_cell_angle_gamma 120.00
_space_group_name_H-M_alt 'P -3 m 1'
_space_group_IT_number 164
_space_group_name_Hall '-P 3 2"'
loop_
_atom_site_label
_atom_site_type_symbol
_atom_site_fract_x
_atom_site_fract_y
_atom_site_fract_z
Mg1 Mg 0.0000 0.0000 0.0000
Sb1 Sb 0.3333 0.6667 0.2640
P1 P 0.3333 0.6667 0.8203

---

# HgAu5 (PBEsol, optimized geometry)
# Size of the total moment ... 0.0 μB per cell
# Energy of formation from the pure elements ... 0.025 eV/atom
# ΔE to the lowest computed polymorph ... 0 meV/atom
# ρ ... 18.8 g cm⁻³
data_HgAu5
_cell_length_a 10.809
_cell_length_b 2.961
_cell_length_c 6.848
_cell_angle_alpha 90.00
_cell_angle_beta 106.73
_cell_angle_gamma 90.00
_space_group_name_H-M_alt 'C 1 m 1'
_space_group_IT_number 8
loop_
_space_group_symop_operation_xyz
'x,y,z'
'x,-y,z'
'x+1/2,y+1/2,z'
'x+1/2,-y+1/2,z'
loop_
_atom_site_label
_atom_site_type_symbol
_atom_site_fract_x
_atom_site_fract_y
_atom_site_fract_z
Hg1 Hg 0.000 0.000 0.000
Au1 Au 0.118 0.500 0.727
Au2 Au 0.169 0.500 0.338
Au3 Au 0.280 0.000 0.066
Au4 Au 0.334 0.000 0.664
Au5 Au 0.450 0.500 0.399

---

# LaAl2Pt (PBEsol, optimized geometry)
# Size of the total moment ... 0.0 μB per cell
# Energy of formation from the pure elements ... -0.507 eV/atom
# ρ ... 8.0 g cm⁻³
data_LaAl2Pt
_cell_length_a 2.946
_cell_length_b 5.350
_cell_length_c 10.268
_cell_angle_alpha 90.00
_cell_angle_beta 90.00
_cell_angle_gamma 90.00
_space_group_name_H-M_alt 'I m m m'
_space_group_IT_number 71
_space_group_name_Hall '-I 2 2'
loop_
_atom_site_label
_atom_site_type_symbol
_atom_site_fract_x
_atom_site_fract_y
_atom_site_fract_z
La1 La 0.000 0.000 0.000
Al1 Al 0.000 0.500 0.212
Pt1 Pt 0.000 0.000 0.500

---

# Si2PtW (PBEsol, optimized geometry)
# Size of the total moment ... 0.0 μB per cell
# ΔE to the lowest computed polymorph ... 98 meV/atom
# ρ ... 13.0 g cm⁻³
data_Si2PtW
_cell_length_a 3.091
_cell_length_b 3.091
_cell_length_c 5.797
_cell_angle_alpha 90.00
_cell_angle_beta 90.00
_cell_angle_gamma 90.00
_space_group_name_H-M_alt 'P 4/m m m'
_space_group_IT_number 123
_space_group_name_Hall '-P 4 2'
loop_
_atom_site_label
_atom_site_type_symbol
_atom_site_fract_x
_atom_site_fract_y
_atom_site_fract_z
Si1 Si 0.000 0.000 0.237
Pt1 Pt 0.500 0.500 0.500
W1 W 0.500 0.500 0.000

---

# AlAu3 (PBEsol, optimized geometry)
# Size of the total moment ... 0.0 μB per cell
# Energy of formation from the pure elements ... -0.252 eV/atom
# ρ ... 15.7 g cm⁻³
data_AlAu3
_cell_length_a 3.962
_cell_length_b 3.962
_cell_length_c 8.312
_cell_angle_alpha 90.00
_cell_angle_beta 90.00
_cell_angle_gamma 90.00
_space_group_name_H-M_alt 'I 4/m m m'
_space_group_IT_number 139
_space_group_name_Hall '-I 4 2'
loop_
_atom_site_label
_atom_site_type_symbol
_atom_site_fract_x
_atom_site_fract_y
_atom_site_fract_z
Al1 Al 0.000 0.000 0.000
Au1 Au 0.000 0.000 0.500
Au2 Au 0.000 0.500 0.250

---

# Ta2Pt3 (PBEsol, optimized geometry)
# Size of the total moment ... 0.0 μB per cell
# Energy of formation from the pure elements ... -0.390 eV/atom
# ρ ... 19.8 g cm⁻³
data_Ta2Pt3
_cell_length_a 2.8276
_cell_length_b 2.8276
_cell_length_c 34.3874
_cell_angle_alpha 90.00
_cell_angle_beta 90.00
_cell_angle_gamma 120.00
_space_group_name_H-M_alt 'R -3 m'
_space_group_IT_number 166
_space_group_name_Hall '-R 3 2"'
loop_
_atom_site_label
_atom_site_type_symbol
_atom_site_fract_x
_atom_site_fract_y
_atom_site_fract_z
Ta1 Ta 0.0000 0.0000 0.0991
Pt1 Pt 0.0000 0.0000 0.2988
Pt2 Pt 0.0000 0.0000 0.5000

---

# BaCa2La (PBEsol, optimized geometry)
# Size of the total moment ... 0.0 μB per cell
# Energy of formation from the pure elements ... 0.086 eV/atom
# ΔE to the lowest computed polymorph ... 0 meV/atom
# ρ ... 3.4 g cm⁻³
data_BaCa2La
_cell_length_a 4.272
_cell_length_b 4.272
_cell_length_c 9.411
_cell_angle_alpha 90.00
_cell_angle_beta 90.00
_cell_angle_gamma 90.00
_space_group_name_H-M_alt 'P 4/m m m'
_space_group_IT_number 123
_space_group_name_Hall '-P 4 2'
loop_
_atom_site_label
_atom_site_type_symbol
_atom_site_fract_x
_atom_site_fract_y
_atom_site_fract_z
Ba1 Ba 0.000 0.000 0.000
Ca1 Ca 0.500 0.500 0.277
La1 La 0.000 0.000 0.500

---

# Fe2B2O5 (PBEsol, optimized geometry)
# Final energy ... -144.92 eV/cell
# Size of the total moment ... 8.0 μB per cell
# ρ ... 4.4 g cm⁻³
data_Fe2B2O5
_cell_length_a 3.003
_cell_length_b 6.143
_cell_length_c 8.867
_cell_angle_alpha 79.71
_cell_angle_beta 89.98
_cell_angle_gamma 88.90
_space_group_name_H-M_alt 'P -1'
_space_group_IT_number 2
loop_
_space_group_symop_operation_xyz
'x,y,z'
'-x,-y,-z'
loop_
_atom_site_label
_atom_site_type_symbol
_atom_site_fract_x
_atom_site_fract_y
_atom_site_fract_z
Fe1 Fe 0.220 0.288 0.337
Fe2 Fe 0.255 0.912 0.915
B1 B 0.161 0.408 0.818
B2 B 0.203 0.810 0.376
O1 O 0.077 0.619 0.316
O2 O 0.239 0.004 0.274
O3 O 0.245 0.240 0.935
O4 O 0.274 0.627 0.810
O5 O 0.276 0.783 0.529